Entry 1:
A plane-wave DFT calculation with PBE-GGA was carried out for a geometry-optimized Pr3V5Se12 structure.

```
data_Pr3V5Se12
_chemical_formula_sum 'Pr24 V40 Se96'
_cell_length_a 15.937
_cell_length_b 15.937
_cell_length_c 15.937
_cell_angle_alpha 90.00
_cell_angle_beta 90.00
_cell_angle_gamma 90.00
_space_group_name_H-M_alt 'I a -3 d'
_space_group_IT_number 230
_space_group_name_Hall '-I 4bd 2c 3'
loop_
_atom_site_label
_atom_site_type_symbol
_atom_site_fract_x
_atom_site_fract_y
_atom_site_fract_z
_atom_site_occupancy
Pr1 Pr 0.000 0.250 0.125 1
V1 V 0.000 0.000 0.000 1
V2 V 0.000 0.250 0.375 1
Se1 Se 0.031 0.058 0.648 1
```


Entry 2:
A plane-wave DFT calculation with PBE-GGA was carried out for a geometry-optimized PrVSe2 structure.

```
data_PrVSe2
_chemical_formula_sum 'Pr3 V3 Se6'
_cell_length_a 3.8014
_cell_length_b 3.8014
_cell_length_c 25.8234
_cell_angle_alpha 90.00
_cell_angle_beta 90.00
_cell_angle_gamma 120.00
_space_group_name_H-M_alt 'R -3 m'
_space_group_IT_number 166
_space_group_name_Hall '-R 3 2"'
loop_
_atom_site_label
_atom_site_type_symbol
_atom_site_fract_x
_atom_site_fract_y
_atom_site_fract_z
_atom_site_occupancy
Pr1 Pr 0.0000 0.0000 0.0000 1
V1 V 0.0000 0.0000 0.5000 1
Se1 Se 0.0000 0.0000 0.1129 1
```


Entry 3:
A plane-wave DFT calculation with PBE-GGA was carried out for a geometry-optimized PrW4Se8 structure.

```
data_PrW4Se8
_chemical_formula_sum 'Pr3 W12 Se24'
_cell_length_a 6.7189
_cell_length_b 6.7189
_cell_length_c 23.5669
_cell_angle_alpha 90.00
_cell_angle_beta 90.00
_cell_angle_gamma 120.00
_space_group_name_H-M_alt 'R -3 m'
_space_group_IT_number 166
_space_group_name_Hall '-R 3 2"'
loop_
_atom_site_label
_atom_site_type_symbol
_atom_site_fract_x
_atom_site_fract_y
_atom_site_fract_z
_atom_site_occupancy
Pr1 Pr 0.0000 0.0000 0.0000 1
W1 W 0.0000 0.0000 0.5000 1
W2 W 0.0000 0.5000 0.5000 1
Se1 Se 0.0000 0.0000 0.2392 1
Se2 Se 0.0048 0.5024 0.2395 1
```


Entry 4:
A plane-wave DFT calculation with PBE-GGA was carried out for a geometry-optimized PrYSe2 structure.

Output
**Energy above the lowest structure with this stoichiometry**: 0.041 eV/atom

```
data_PrYSe2
_chemical_formula_sum 'Pr3 Y3 Se6'
_cell_length_a 4.0506
_cell_length_b 4.0506
_cell_length_c 22.0157
_cell_angle_alpha 90.00
_cell_angle_beta 90.00
_cell_angle_gamma 120.00
_space_group_name_H-M_alt 'R 3 m'
_space_group_IT_number 160
_space_group_name_Hall 'R 3 -2"'
loop_
_atom_site_label
_atom_site_type_symbol
_atom_site_fract_x
_atom_site_fract_y
_atom_site_fract_z
_atom_site_occupancy
Pr1 Pr 0.0000 0.0000 0.0000 1
Y1 Y 0.0000 0.0000 0.1768 1
Se1 Se 0.0000 0.0000 0.4249 1
Se2 Se 0.0000 0.0000 0.5851 1
```


Entry 5:
A plane-wave DFT calculation with PBE-GGA was carried out for a geometry-optimized Pr4YSe5 structure.

```
data_Pr4YSe5
_chemical_formula_sum 'Pr8 Y2 Se10'
_cell_length_a 4.226
_cell_length_b 4.226
_cell_length_c 30.039
_cell_angle_alpha 90.00
_cell_angle_beta 90.00
_cell_angle_gamma 90.00
_space_group_name_H-M_alt 'I 4/m m m'
_space_group_IT_number 139
_space_group_name_Hall '-I 4 2'
loop_
_atom_site_label
_atom_site_type_symbol
_atom_site_fract_x
_atom_site_fract_y
_atom_site_fract_z
_atom_site_occupancy
Pr1 Pr 0.000 0.000 0.102 1
Pr2 Pr 0.000 0.000 0.305 1
Y1 Y 0.000 0.000 0.500 1
Se1 Se 0.000 0.000 0.000 1
Se2 Se 0.000 0.000 0.203 1
Se3 Se 0.000 0.000 0.405 1
```


Entry 6:
A plane-wave DFT calculation with PBE-GGA was carried out for a geometry-optimized PrY4Se6 structure.

```
data_PrY4Se6
_chemical_formula_sum 'Pr4 Y16 Se24'
_cell_length_a 4.051
_cell_length_b 13.443
_cell_length_c 20.876
_cell_angle_alpha 90.00
_cell_angle_beta 90.00
_cell_angle_gamma 90.00
_space_group_name_H-M_alt 'C m c m'
_space_group_IT_number 63
_space_group_name_Hall '-C 2c 2'
loop_
_atom_site_label
_atom_site_type_symbol
_atom_site_fract_x
_atom_site_fract_y
_atom_site_fract_z
_atom_site_occupancy
Pr1 Pr 0.000 0.154 0.250 1
Y1 Y 0.000 0.090 0.626 1
Y2 Y 0.000 0.360 0.538 1
Se1 Se 0.000 0.000 0.000 1
Se2 Se 0.000 0.182 0.750 1
Se3 Se 0.000 0.268 0.090 1
Se4 Se 0.000 0.450 0.664 1
```


Result set for uncorrected formation energy: -1.03 -0.63 -0.31 -1.77 -1.82 -1.85 eV/atom, one per record in the order listed.
Result set for VASP energy: -6.12 -5.84 -6.81 -6.32 -6.12 -6.54 eV per atom, one per record in the order listed.